A) # CrIr2Ru

An optimized crystal structure of CrIr2Ru (PBE, Alexandria).

space group	No. 2
density of states at the Fermi level	7.5	states/eV per cell

Unit cell a=2.710 b=4.260 c=9.709 alpha=93.47 beta=97.98 gamma=90.01
Fractional coordinates of all 8 atoms:
Cr  0.038  0.260  0.079
Cr  0.962  0.740  0.921
Ir  0.341  0.707  0.680
Ir  0.426  0.231  0.848
Ir  0.574  0.769  0.152
Ir  0.659  0.293  0.320
Ru  0.204  0.811  0.409
Ru  0.796  0.189  0.591

=====

B) # CrIr2Ru

An optimized crystal structure of CrIr2Ru (PBE, Alexandria).

space group	No. 139
density of states at the Fermi level	7.3	states/eV per cell

Unit cell a=3.804 b=3.804 c=7.621 alpha=90.00 beta=90.00 gamma=90.00
Fractional coordinates of all 8 atoms:
Cr  0.000  0.000  0.000
Cr  0.500  0.500  0.500
Ir  0.000  0.500  0.250
Ir  0.000  0.500  0.750
Ir  0.500  0.000  0.250
Ir  0.500  0.000  0.750
Ru  0.000  0.000  0.500
Ru  0.500  0.500  0.000

=====

Ordering by calculated energy gives the sequence B), A), with the first entry being the most stable.

=====

A) # Cr2IrRu2

An optimized crystal structure of Cr2IrRu2 (PBE, Alexandria).

space group	No. 127
density of states at the Fermi level	11.0	states/eV per cell

Unit cell a=7.033 b=7.033 c=2.747 alpha=90.00 beta=90.00 gamma=90.00
Fractional coordinates of all 10 atoms:
Cr  0.169  0.331  0.000
Cr  0.331  0.831  0.000
Cr  0.669  0.169  0.000
Cr  0.831  0.669  0.000
Ir  0.000  0.000  0.500
Ir  0.500  0.500  0.500
Ru  0.131  0.631  0.500
Ru  0.369  0.131  0.500
Ru  0.631  0.869  0.500
Ru  0.869  0.369  0.500

=====

B) # Cr2IrRu2

An optimized crystal structure of Cr2IrRu2 (PBE, Alexandria).

space group	No. 127
density of states at the Fermi level	8.8	states/eV per cell

Unit cell a=6.995 b=6.995 c=2.744 alpha=90.00 beta=90.00 gamma=90.00
Fractional coordinates of all 10 atoms:
Cr  0.118  0.382  0.000
Cr  0.382  0.882  0.000
Cr  0.618  0.118  0.000
Cr  0.882  0.618  0.000
Ir  0.000  0.000  0.000
Ir  0.500  0.500  0.000
Ru  0.178  0.678  0.500
Ru  0.322  0.178  0.500
Ru  0.678  0.822  0.500
Ru  0.822  0.322  0.500

=====

Ordering by calculated energy gives the sequence B), A), with the first entry being the most stable.

=====

A) # Cr2Ir2Ru

An optimized crystal structure of Cr2Ir2Ru (PBE, Alexandria).

space group	No. 127
density of states at the Fermi level	8.0	states/eV per cell

Unit cell a=7.173 b=7.173 c=2.701 alpha=90.00 beta=90.00 gamma=90.00
Fractional coordinates of all 10 atoms:
Cr  0.169  0.331  0.000
Cr  0.331  0.831  0.000
Cr  0.669  0.169  0.000
Cr  0.831  0.669  0.000
Ir  0.130  0.630  0.500
Ir  0.370  0.130  0.500
Ir  0.630  0.870  0.500
Ir  0.870  0.370  0.500
Ru  0.000  0.000  0.500
Ru  0.500  0.500  0.500

=====

B) # Cr2Ir2Ru

An optimized crystal structure of Cr2Ir2Ru (PBE, Alexandria).

space group	No. 65
density of states at the Fermi level	11.5	states/eV per cell

Unit cell a=4.287 b=11.975 c=2.678 alpha=90.00 beta=90.00 gamma=90.00
Fractional coordinates of all 10 atoms:
Cr  0.000  0.190  0.000
Cr  0.000  0.810  0.000
Cr  0.500  0.310  0.000
Cr  0.500  0.690  0.000
Ir  0.000  0.371  0.500
Ir  0.000  0.629  0.500
Ir  0.500  0.129  0.500
Ir  0.500  0.871  0.500
Ru  0.000  0.000  0.500
Ru  0.500  0.500  0.500

=====

Ordering by calculated energy gives the sequence B), A), with the first entry being the most stable.

=====

A) # CrIr6Ru2

An optimized crystal structure of CrIr6Ru2 (PBE, Alexandria).

space group	No. 15
density of states at the Fermi level	16.3	states/eV per cell

Unit cell a=8.492 b=8.492 c=4.887 alpha=98.90 beta=98.90 gamma=49.27
Fractional coordinates of all 18 atoms:
Cr  0.219  0.781  0.750
Cr  0.781  0.219  0.250
Ir  0.014  0.812  0.140
Ir  0.051  0.613  0.645
Ir  0.188  0.986  0.360
Ir  0.368  0.478  0.350
Ir  0.387  0.949  0.855
Ir  0.478  0.368  0.850
Ir  0.522  0.632  0.150
Ir  0.613  0.051  0.145
Ir  0.632  0.522  0.650
Ir  0.812  0.014  0.640
Ir  0.949  0.387  0.355
Ir  0.986  0.188  0.860
Ru  0.198  0.340  0.005
Ru  0.340  0.198  0.505
Ru  0.660  0.802  0.495
Ru  0.802  0.660  0.995

=====

B) # CrIr6Ru2

An optimized crystal structure of CrIr6Ru2 (PBE, Alexandria).

space group	No. 160
density of states at the Fermi level	9.9	states/eV per cell

Unit cell a=6.635 b=6.635 c=6.635 alpha=47.10 beta=47.10 gamma=47.10
Fractional coordinates of all 9 atoms:
Cr  0.000  0.000  0.000
Ir  0.239  0.720  0.720
Ir  0.444  0.931  0.931
Ir  0.720  0.239  0.720
Ir  0.720  0.720  0.239
Ir  0.931  0.444  0.931
Ir  0.931  0.931  0.444
Ru  0.262  0.262  0.262
Ru  0.391  0.391  0.391

=====

Ordering by calculated energy gives the sequence A), B), with the first entry being the most stable.